Entry 1:
KNbNi2Pt: relaxed, PBE.

Cell lengths 4.221, 4.221, 5.265 Å; angles 90.00, 90.00, 90.00 degrees
Atoms (fractional coordinates):
K 0.000 0.000 0.000
Nb 0.500 0.500 0.500
Ni 0.000 0.500 0.000
Ni 0.500 0.000 0.000
Pt 0.000 0.000 0.500

**Crystal system**: tetragonal
**DFT formation energy**: 9.9 eV per formula unit
**Size of the total moment**: 0.175 μB/atom

=====

Entry 2:
La2ReSi: relaxed, PBE.

Cell lengths 4.193, 4.428, 11.098 Å; angles 90.00, 90.00, 90.00 degrees
Atoms (fractional coordinates):
La 0.000 0.000 0.000
La 0.000 0.500 0.500
La 0.500 0.000 0.280
La 0.500 0.500 0.780
Re 0.000 0.000 0.699
Re 0.000 0.500 0.199
Si 0.500 0.000 0.585
Si 0.500 0.500 0.085

**Crystal system**: orthorhombic
**Energy relative to the elements, uncorrected**: -233 meV/atom
**Size of the total moment**: 0.000 μB/atom

=====

Entry 3:
V3Tc2Mo: relaxed, PBE.

Cell lengths 3.039, 3.039, 9.158 Å; angles 90.00, 90.00, 90.00 degrees
Atoms (fractional coordinates):
V 0.000 0.000 0.000
V 0.000 0.000 0.331
V 0.000 0.000 0.669
Tc 0.500 0.500 0.165
Tc 0.500 0.500 0.835
Mo 0.500 0.500 0.500

**Crystal system**: tetragonal
**DFT formation energy**: -1.8 eV per formula unit
**Size of the total moment**: 0.000 μB/atom

=====

Entry 4:
GdHoScPa: relaxed, PBE.

Cell lengths 7.671, 7.671, 7.671 Å; angles 90.00, 90.00, 90.00 degrees
Atoms (fractional coordinates):
Gd 0.000 0.000 0.000
Gd 0.000 0.500 0.500
Gd 0.500 0.000 0.500
Gd 0.500 0.500 0.000
Ho 0.250 0.250 0.250
Ho 0.250 0.750 0.750
Ho 0.750 0.250 0.750
Ho 0.750 0.750 0.250
Sc 0.250 0.250 0.750
Sc 0.250 0.750 0.250
Sc 0.750 0.250 0.250
Sc 0.750 0.750 0.750
Pa 0.000 0.000 0.500
Pa 0.000 0.500 0.000
Pa 0.500 0.000 0.000
Pa 0.500 0.500 0.500

**Crystal system**: cubic
**DFT formation energy**: 1.2 eV per formula unit
**Size of the total moment**: 1.861 μB/atom

=====

Entry 5:
LaZnIr2C: relaxed, PBE.

Cell lengths 5.066, 5.066, 4.439 Å; angles 90.00, 90.00, 90.00 degrees
Atoms (fractional coordinates):
La 0.000 0.000 0.000
Zn 0.500 0.500 0.500
Ir 0.000 0.500 0.000
Ir 0.500 0.000 0.000
C 0.000 0.000 0.500

**Crystal system**: tetragonal
**DFT formation energy**: 11.3 eV per formula unit
**Size of the total moment**: 0.290 μB/atom

=====

Entry 6:
ErSc2AlS6: relaxed, PBE.

Cell lengths 6.935, 6.935, 6.935 Å; angles 55.68, 55.68, 55.68 degrees
Atoms (fractional coordinates):
Er 0.000 0.000 0.000
Sc 0.299 0.299 0.299
Sc 0.803 0.803 0.803
Al 0.494 0.494 0.494
S 0.104 0.689 0.415
S 0.224 0.583 0.881
S 0.415 0.104 0.689
S 0.583 0.881 0.224
S 0.689 0.415 0.104
S 0.881 0.224 0.583

**Crystal system**: trigonal
**Energy relative to the elements, uncorrected**: -1671 meV/atom
**Size of the total moment**: 0.000 μB/atom

=====

Entry 7:
YInCo2Tc: relaxed, PBE.

Cell lengths 4.649, 4.649, 4.967 Å; angles 90.00, 90.00, 90.00 degrees
Atoms (fractional coordinates):
Y 0.000 0.000 0.000
In 0.500 0.500 0.500
Co 0.000 0.500 0.000
Co 0.500 0.000 0.000
Tc 0.000 0.000 0.500

**Crystal system**: tetragonal
**DFT formation energy**: 8.2 eV per formula unit
**Size of the total moment**: 0.638 μB/atom

=====

Entry 8:
IrOsBr2: relaxed, PBE.

Cell lengths 6.106, 7.307, 3.057 Å; angles 90.00, 90.00, 90.00 degrees
Atoms (fractional coordinates):
Ir 0.000 0.000 0.000
Ir 0.500 0.500 0.000
Os 0.000 0.500 0.000
Os 0.500 0.000 0.000
Br 0.250 0.250 0.500
Br 0.250 0.750 0.500
Br 0.750 0.250 0.500
Br 0.750 0.750 0.500

**Crystal system**: orthorhombic
**Energy relative to the elements, uncorrected**: 1651 meV/atom
**Size of the total moment**: 0.000 μB/atom

=====

Entry 9:
KMgTc: relaxed, PBE.

Cell lengths 2.715, 4.635, 12.296 Å; angles 90.00, 90.00, 90.00 degrees
Atoms (fractional coordinates):
K 0.000 0.000 0.000
K 0.500 0.500 0.500
Mg 0.000 0.000 0.724
Mg 0.500 0.500 0.224
Tc 0.000 0.000 0.286
Tc 0.500 0.500 0.786

**Crystal system**: orthorhombic
**DFT formation energy**: 2.6 eV per formula unit
**Size of the total moment**: 0.297 μB/atom

=====

Entry 10:
NbReI3: relaxed, PBE.

Cell lengths 5.727, 5.727, 5.727 Å; angles 90.00, 90.00, 90.00 degrees
Atoms (fractional coordinates):
Nb 0.000 0.000 0.000
Re 0.500 0.500 0.500
I 0.000 0.000 0.500
I 0.000 0.500 0.000
I 0.500 0.000 0.000

**Crystal system**: cubic
**Energy relative to the elements, uncorrected**: 1331 meV/atom
**Size of the total moment**: 1.653 μB/atom

=====

Entry 11:
Tb2SiNi: relaxed, PBE.

Cell lengths 3.455, 3.455, 27.518 Å; angles 90.00, 90.00, 120.00 degrees
Atoms (fractional coordinates):
Tb 0.000 0.000 0.091
Tb 0.000 0.000 0.909
Tb 0.333 0.667 0.575
Tb 0.333 0.667 0.758
Tb 0.667 0.333 0.242
Tb 0.667 0.333 0.425
Si 0.000 0.000 0.500
Si 0.333 0.667 0.167
Si 0.667 0.333 0.833
Ni 0.000 0.000 0.000
Ni 0.333 0.667 0.667
Ni 0.667 0.333 0.333

**Crystal system**: trigonal
**Energy relative to the elements, uncorrected**: 264 meV/atom
**Size of the total moment**: 0.000 μB/atom

=====

Entry 12:
TiReN3: relaxed, PBE.

Cell lengths 9.876, 9.876, 9.876 Å; angles 160.22, 160.22, 28.12 degrees
Atoms (fractional coordinates):
Ti 0.000 0.000 0.000
Ti 0.750 0.250 0.500
Re 0.132 0.632 0.500
Re 0.368 0.868 0.500
N 0.305 0.305 0.000
N 0.395 0.092 0.303
N 0.695 0.695 0.000
N 0.788 0.092 0.697
N 0.908 0.212 0.303
N 0.908 0.605 0.697

**Crystal system**: tetragonal
**Energy relative to the elements, uncorrected**: -90 meV/atom
**Size of the total moment**: 0.000 μB/atom

=====

Entry 13:
Er2Tm3Tl7: relaxed, PBE.

Cell lengths 13.099, 13.099, 5.327 Å; angles 90.00, 90.00, 156.90 degrees
Atoms (fractional coordinates):
Er 0.153 0.847 0.000
Er 0.847 0.153 0.000
Tm 0.350 0.650 0.500
Tm 0.500 0.500 0.500
Tm 0.650 0.350 0.500
Tl 0.000 0.000 0.000
Tl 0.082 0.918 0.500
Tl 0.280 0.720 0.000
Tl 0.424 0.576 0.000
Tl 0.576 0.424 0.000
Tl 0.720 0.280 0.000
Tl 0.918 0.082 0.500

**Crystal system**: orthorhombic
**DFT formation energy**: -0.6 eV per formula unit
**Size of the total moment**: 0.001 μB/atom

=====

Entry 14:
K2Ga2As2O: relaxed, PBE.

Cell lengths 12.201, 4.049, 7.817 Å; angles 90.00, 120.68, 90.00 degrees
Atoms (fractional coordinates):
K 0.055 0.000 0.308
K 0.445 0.500 0.692
K 0.555 0.500 0.308
K 0.945 0.000 0.692
Ga 0.172 0.500 0.061
Ga 0.328 0.000 0.939
Ga 0.672 0.000 0.061
Ga 0.828 0.500 0.939
As 0.198 0.500 0.751
As 0.302 0.000 0.249
As 0.698 0.000 0.751
As 0.802 0.500 0.249
O 0.000 0.500 0.000
O 0.500 0.000 0.000

**Crystal system**: monoclinic
**Energy relative to the elements, uncorrected**: -861 meV/atom
**Size of the total moment**: 0.000 μB/atom

=====

Entry 15:
PmCuHgPt: relaxed, PBE.

Cell lengths 6.875, 6.875, 6.875 Å; angles 90.00, 90.00, 90.00 degrees
Atoms (fractional coordinates):
Pm 0.000 0.000 0.000
Pm 0.000 0.500 0.500
Pm 0.500 0.000 0.500
Pm 0.500 0.500 0.000
Cu 0.250 0.250 0.750
Cu 0.250 0.750 0.250
Cu 0.750 0.250 0.250
Cu 0.750 0.750 0.750
Hg 0.000 0.000 0.500
Hg 0.000 0.500 0.000
Hg 0.500 0.000 0.000
Hg 0.500 0.500 0.500
Pt 0.250 0.250 0.250
Pt 0.250 0.750 0.750
Pt 0.750 0.250 0.750
Pt 0.750 0.750 0.250

**Crystal system**: cubic
**DFT formation energy**: -1.7 eV per formula unit
**Size of the total moment**: 0.000 μB/atom

=====

Entry 16:
CaGaAg2Au4: relaxed, PBE.

Cell lengths 8.141, 8.141, 8.141 Å; angles 34.42, 34.42, 34.42 degrees
Atoms (fractional coordinates):
Ca 0.000 0.000 0.000
Ga 0.500 0.500 0.500
Ag 0.259 0.259 0.259
Ag 0.741 0.741 0.741
Au 0.134 0.134 0.134
Au 0.387 0.387 0.387
Au 0.613 0.613 0.613
Au 0.866 0.866 0.866

**Crystal system**: trigonal
**DFT formation energy**: -2.2 eV per formula unit
**Size of the total moment**: 0.000 μB/atom

=====

Entry 17:
Cu2ReSe: relaxed, PBE.

Cell lengths 9.031, 2.975, 4.742 Å; angles 90.00, 114.59, 90.00 degrees
Atoms (fractional coordinates):
Cu 0.000 0.000 0.000
Cu 0.246 0.500 0.085
Cu 0.500 0.500 0.000
Cu 0.746 0.000 0.085
Re 0.484 0.000 0.508
Re 0.984 0.500 0.508
Se 0.213 0.000 0.559
Se 0.713 0.500 0.559

**Crystal system**: monoclinic
**Energy relative to the elements, uncorrected**: 391 meV/atom
**Size of the total moment**: 0.000 μB/atom

=====

Entry 18:
TbZr2Rh: relaxed, PBE.

Cell lengths 3.369, 3.369, 7.786 Å; angles 90.00, 90.00, 90.00 degrees
Atoms (fractional coordinates):
Tb 0.000 0.000 0.000
Zr 0.500 0.500 0.298
Zr 0.500 0.500 0.702
Rh 0.000 0.000 0.500

**Crystal system**: tetragonal
**DFT formation energy**: -1.1 eV per formula unit
**Size of the total moment**: 0.000 μB/atom

=====

Entry 19:
RbYTeO4: relaxed, PBE.

Cell lengths 5.937, 6.127, 8.026 Å; angles 90.00, 106.47, 90.00 degrees
Atoms (fractional coordinates):
Rb 0.095 0.250 0.142
Rb 0.905 0.750 0.858
Y 0.165 0.750 0.462
Y 0.835 0.250 0.538
Te 0.410 0.250 0.735
Te 0.590 0.750 0.265
O 0.165 0.013 0.662
O 0.165 0.487 0.662
O 0.228 0.750 0.200
O 0.435 0.250 0.501
O 0.565 0.750 0.499
O 0.772 0.250 0.800
O 0.835 0.513 0.338
O 0.835 0.987 0.338

**Crystal system**: monoclinic
**Energy relative to the elements, uncorrected**: -2041 meV/atom
**Size of the total moment**: 0.000 μB/atom

=====

Entry 20:
PrNi2Ge: relaxed, PBE.

Cell lengths 4.111, 4.111, 14.781 Å; angles 90.00, 90.00, 120.00 degrees
Atoms (fractional coordinates):
Pr 0.000 0.000 0.000
Pr 0.333 0.667 0.667
Pr 0.667 0.333 0.333
Ni 0.000 0.000 0.199
Ni 0.000 0.000 0.801
Ni 0.333 0.667 0.468
Ni 0.333 0.667 0.865
Ni 0.667 0.333 0.135
Ni 0.667 0.333 0.532
Ge 0.000 0.000 0.500
Ge 0.333 0.667 0.167
Ge 0.667 0.333 0.833

**Crystal system**: trigonal
**DFT formation energy**: -2.1 eV per formula unit
**Size of the total moment**: 0.000 μB/atom

=====

Result set for calculated volume: 18.76, 25.76, 14.10, 28.21, 22.79, 21.22, 21.46, 17.05, 25.79, 37.56, 23.71, 11.03, 29.88, 23.72, 20.31, 19.22, 14.48, 22.09, 20.00, 18.03 A^3/atom, one per record in the order listed.
Result set for raw total energy: -18.88, -28.66, -60.69, -33.30, -21.89, -62.45, -25.53, -16.83, -10.48, -20.51, -19.41, -45.77, -39.69, -28.53, -16.93, -26.08, -22.56, -30.20, -44.69, -23.08 eV/f.u., one per record in the order listed.